Compound: CdAuSe2
Source: the Alexandria database
Functional: PBE-GGA
Structure: optimized geometry

a b c (Å): 4.908 4.908 4.908
angles (deg): 60.00 60.00 60.00
Atoms (fractional coordinates):
1 Au 0.500 0.500 0.500
2 Cd 0.250 0.250 0.250
3 Se 0.000 0.000 0.000
4 Se 0.750 0.750 0.750

Results
crystal system	cubic
formation energy without anion corrections	6.48	kcal/mol of atoms
DOS(E_F)	0.51	states/eV per atom